# PBE-GGA KPtBr, relaxed
data_KPtBr
_space_group_name_H-M_alt 'P 63/m m c'
_space_group_IT_number 194
_space_group_name_Hall '-P 6c 2c'
_cell_length_a 4.4682
_cell_length_b 4.4682
_cell_length_c 9.5830
_cell_angle_alpha 90.00
_cell_angle_beta 90.00
_cell_angle_gamma 120.00
loop_
_atom_site_label
_atom_site_fract_x
_atom_site_fract_y
_atom_site_fract_z
K1 0.0000 0.0000 0.0000
Pt1 0.3333 0.6667 0.2500
Br1 0.3333 0.6667 0.7500
# formation energy (no corrections): -317 meV per atom
# energy relative to the lowest polymorph listed for this composition: 354 meV/atom


# PBE-GGA Y4TeAu, relaxed
data_Y4TeAu
_space_group_name_H-M_alt 'C 1 2/m 1'
_space_group_IT_number 12
_cell_length_a 15.568
_cell_length_b 3.871
_cell_length_c 6.668
_cell_angle_alpha 90.00
_cell_angle_beta 115.10
_cell_angle_gamma 90.00
loop_
_space_group_symop_operation_xyz
'x,y,z'
'-x,-y,-z'
'-x,y,-z'
'x,-y,z'
'x+1/2,y+1/2,z'
'-x+1/2,-y+1/2,-z'
'-x+1/2,y+1/2,-z'
'x+1/2,-y+1/2,z'
loop_
_atom_site_label
_atom_site_fract_x
_atom_site_fract_y
_atom_site_fract_z
Y1 0.149 0.000 0.325
Y2 0.150 0.500 0.807
Te1 0.000 0.500 0.000
Au1 0.000 0.000 0.500
# formation energy (no corrections): -577 meV per atom
# energy relative to the lowest polymorph listed for this composition: 176 meV/atom


# PBE-GGA CuPd6Pb, relaxed
data_CuPd6Pb
_space_group_name_H-M_alt 'P -1'
_space_group_IT_number 2
_cell_length_a 5.130
_cell_length_b 5.140
_cell_length_c 5.163
_cell_angle_alpha 94.25
_cell_angle_beta 94.04
_cell_angle_gamma 94.36
loop_
_space_group_symop_operation_xyz
'x,y,z'
'-x,-y,-z'
loop_
_atom_site_label
_atom_site_fract_x
_atom_site_fract_y
_atom_site_fract_z
Cu1 0.000 0.000 0.000
Pd1 0.046 0.436 0.754
Pd2 0.246 0.952 0.567
Pd3 0.436 0.754 0.048
Pb1 0.500 0.500 0.500
# energy of formation: -0.03 eV/atom
# energy relative to the lowest polymorph listed for this composition: 95 meV/atom


# PBE-GGA Y4TaHg, relaxed
data_Y4TaHg
_space_group_name_H-M_alt 'F -4 3 m'
_space_group_IT_number 216
_space_group_name_Hall 'F -4 2 3'
_cell_length_a 8.672
_cell_length_b 8.672
_cell_length_c 8.672
_cell_angle_alpha 90.00
_cell_angle_beta 90.00
_cell_angle_gamma 90.00
loop_
_atom_site_label
_atom_site_fract_x
_atom_site_fract_y
_atom_site_fract_z
Y1 0.124 0.124 0.376
Ta1 0.250 0.250 0.750
Hg1 0.000 0.000 0.000
# energy of formation: 0.68 eV/atom


# PBE-GGA Ho12Er3Mg, relaxed
data_Ho12Er3Mg
_space_group_name_H-M_alt 'P 4/m m m'
_space_group_IT_number 123
_space_group_name_Hall '-P 4 2'
_cell_length_a 4.952
_cell_length_b 4.952
_cell_length_c 19.873
_cell_angle_alpha 90.00
_cell_angle_beta 90.00
_cell_angle_gamma 90.00
loop_
_atom_site_label
_atom_site_fract_x
_atom_site_fract_y
_atom_site_fract_z
Ho1 0.000 0.000 0.000
Ho2 0.000 0.000 0.246
Ho3 0.000 0.000 0.500
Ho4 0.000 0.500 0.124
Ho5 0.000 0.500 0.374
Er1 0.500 0.500 0.249
Er2 0.500 0.500 0.500
Mg1 0.500 0.500 0.000
# energy of formation: 0.02 eV/atom


# PBE-GGA K2AsOs, relaxed
data_K2AsOs
_space_group_name_H-M_alt 'A m m 2'
_space_group_IT_number 38
_cell_length_a 4.003
_cell_length_b 5.444
_cell_length_c 11.779
_cell_angle_alpha 90.00
_cell_angle_beta 90.00
_cell_angle_gamma 90.00
loop_
_space_group_symop_operation_xyz
'x,y,z'
'-x,-y,z'
'-x,y,z'
'x,-y,z'
'x,y+1/2,z+1/2'
'-x,-y+1/2,z+1/2'
'-x,y+1/2,z+1/2'
'x,-y+1/2,z+1/2'
loop_
_atom_site_label
_atom_site_fract_x
_atom_site_fract_y
_atom_site_fract_z
K1 0.000 0.000 0.000
K2 0.500 0.000 0.290
As1 0.500 0.000 0.591
Os1 0.000 0.000 0.691
# energy of formation: 0.33 eV/atom


# PBE-GGA Be2Sn2Ru, relaxed
data_Be2Sn2Ru
_space_group_name_H-M_alt 'I 4/m m m'
_space_group_IT_number 139
_space_group_name_Hall '-I 4 2'
_cell_length_a 4.002
_cell_length_b 4.002
_cell_length_c 10.874
_cell_angle_alpha 90.00
_cell_angle_beta 90.00
_cell_angle_gamma 90.00
loop_
_atom_site_label
_atom_site_fract_x
_atom_site_fract_y
_atom_site_fract_z
Be1 0.000 0.000 0.092
Sn1 0.000 0.500 0.250
Ru1 0.000 0.000 0.500
# energy of formation: 0.93 eV/atom
# energy relative to the lowest polymorph listed for this composition: 641 meV/atom


# PBE-GGA Be3CoB12, relaxed
data_Be3CoB12
_space_group_name_H-M_alt 'R 3 c'
_space_group_IT_number 161
_space_group_name_Hall 'R 3 -2"c'
_cell_length_a 10.2974
_cell_length_b 10.2974
_cell_length_c 8.0695
_cell_angle_alpha 90.00
_cell_angle_beta 90.00
_cell_angle_gamma 120.00
loop_
_atom_site_label
_atom_site_fract_x
_atom_site_fract_y
_atom_site_fract_z
Be1 0.0868 0.3687 0.0000
Co1 0.0000 0.0000 0.0809
B1 0.0168 0.1876 0.1306
B2 0.1536 0.3430 0.2326
B3 0.1757 0.4765 0.3910
B4 0.1876 0.0439 0.9332
# energy of formation: 0.27 eV/atom


# PBE-GGA NaGe2Se4, relaxed
data_NaGe2Se4
_space_group_name_H-M_alt 'I 4/m'
_space_group_IT_number 87
_space_group_name_Hall '-I 4'
_cell_length_a 7.981
_cell_length_b 7.981
_cell_length_c 6.313
_cell_angle_alpha 90.00
_cell_angle_beta 90.00
_cell_angle_gamma 90.00
loop_
_atom_site_label
_atom_site_fract_x
_atom_site_fract_y
_atom_site_fract_z
Na1 0.000 0.000 0.000
Ge1 0.000 0.500 0.250
Se1 0.163 0.675 0.500
# formation energy (no corrections): -428 meV per atom
# energy relative to the lowest polymorph listed for this composition: 0 meV/atom


# PBE-GGA Sb2TePdSe, relaxed
data_Sb2TePdSe
_space_group_name_H-M_alt 'P 4/m m m'
_space_group_IT_number 123
_space_group_name_Hall '-P 4 2'
_cell_length_a 5.383
_cell_length_b 5.383
_cell_length_c 5.341
_cell_angle_alpha 90.00
_cell_angle_beta 90.00
_cell_angle_gamma 90.00
loop_
_atom_site_label
_atom_site_fract_x
_atom_site_fract_y
_atom_site_fract_z
Sb1 0.000 0.500 0.000
Te1 0.000 0.000 0.500
Pd1 0.500 0.500 0.500
Se1 0.000 0.000 0.000
# formation energy (no corrections): 830 meV per atom
# energy relative to the lowest polymorph listed for this composition: 403 meV/atom


# PBE-GGA Li2LaMn, relaxed
data_Li2LaMn
_space_group_name_H-M_alt 'R 3 m'
_space_group_IT_number 160
_space_group_name_Hall 'R 3 -2"'
_cell_length_a 3.3149
_cell_length_b 3.3149
_cell_length_c 30.0781
_cell_angle_alpha 90.00
_cell_angle_beta 90.00
_cell_angle_gamma 120.00
loop_
_atom_site_label
_atom_site_fract_x
_atom_site_fract_y
_atom_site_fract_z
Li1 0.0000 0.0000 0.0000
Li2 0.0000 0.0000 0.2533
La1 0.0000 0.0000 0.7659
Mn1 0.0000 0.0000 0.5155
# energy of formation: 0.36 eV/atom
# energy relative to the lowest polymorph listed for this composition: 119 meV/atom


# PBE-GGA Sr2TlHg2, relaxed
data_Sr2TlHg2
_space_group_name_H-M_alt 'P 4/m b m'
_space_group_IT_number 127
_space_group_name_Hall '-P 4 2ab'
_cell_length_a 9.206
_cell_length_b 9.206
_cell_length_c 4.019
_cell_angle_alpha 90.00
_cell_angle_beta 90.00
_cell_angle_gamma 90.00
loop_
_atom_site_label
_atom_site_fract_x
_atom_site_fract_y
_atom_site_fract_z
Sr1 0.157 0.343 0.000
Tl1 0.000 0.000 0.000
Hg1 0.137 0.637 0.500
# energy of formation: -0.34 eV/atom
# energy relative to the lowest polymorph listed for this composition: 106 meV/atom


# PBE-GGA HgAu2Cl, relaxed
data_HgAu2Cl
_space_group_name_H-M_alt 'R -3 m'
_space_group_IT_number 166
_space_group_name_Hall '-R 3 2"'
_cell_length_a 3.3826
_cell_length_b 3.3826
_cell_length_c 25.1713
_cell_angle_alpha 90.00
_cell_angle_beta 90.00
_cell_angle_gamma 120.00
loop_
_atom_site_label
_atom_site_fract_x
_atom_site_fract_y
_atom_site_fract_z
Hg1 0.0000 0.0000 0.0000
Au1 0.0000 0.0000 0.2500
Cl1 0.0000 0.0000 0.5000
# formation energy (no corrections): 124 meV per atom
# energy relative to the lowest polymorph listed for this composition: 158 meV/atom


# PBE-GGA MgScPd, relaxed
data_MgScPd
_space_group_name_H-M_alt 'I 4 m m'
_space_group_IT_number 107
_space_group_name_Hall 'I 4 -2'
_cell_length_a 3.428
_cell_length_b 3.428
_cell_length_c 9.778
_cell_angle_alpha 90.00
_cell_angle_beta 90.00
_cell_angle_gamma 90.00
loop_
_atom_site_label
_atom_site_fract_x
_atom_site_fract_y
_atom_site_fract_z
Mg1 0.000 0.000 0.000
Sc1 0.000 0.000 0.299
Pd1 0.000 0.000 0.656
# energy of formation: -0.58 eV/atom


# PBE-GGA YTcOs2, relaxed
data_YTcOs2
_space_group_name_H-M_alt 'F m -3 m'
_space_group_IT_number 225
_space_group_name_Hall '-F 4 2 3'
_cell_length_a 6.479
_cell_length_b 6.479
_cell_length_c 6.479
_cell_angle_alpha 90.00
_cell_angle_beta 90.00
_cell_angle_gamma 90.00
loop_
_atom_site_label
_atom_site_fract_x
_atom_site_fract_y
_atom_site_fract_z
Y1 0.000 0.000 0.000
Tc1 0.000 0.000 0.500
Os1 0.250 0.250 0.250
# energy of formation: 0.43 eV/atom
# energy relative to the lowest polymorph listed for this composition: 258 meV/atom


# PBE-GGA HoTiGaRh, relaxed
data_HoTiGaRh
_space_group_name_H-M_alt 'F -4 3 m'
_space_group_IT_number 216
_space_group_name_Hall 'F -4 2 3'
_cell_length_a 6.652
_cell_length_b 6.652
_cell_length_c 6.652
_cell_angle_alpha 90.00
_cell_angle_beta 90.00
_cell_angle_gamma 90.00
loop_
_atom_site_label
_atom_site_fract_x
_atom_site_fract_y
_atom_site_fract_z
Ho1 0.000 0.000 0.000
Ti1 0.000 0.000 0.500
Ga1 0.250 0.250 0.750
Rh1 0.250 0.250 0.250
# energy of formation: -0.48 eV/atom


# PBE-GGA BeSnP2Cl, relaxed
data_BeSnP2Cl
_space_group_name_H-M_alt 'P 4/m m m'
_space_group_IT_number 123
_space_group_name_Hall '-P 4 2'
_cell_length_a 5.092
_cell_length_b 5.092
_cell_length_c 5.073
_cell_angle_alpha 90.00
_cell_angle_beta 90.00
_cell_angle_gamma 90.00
loop_
_atom_site_label
_atom_site_fract_x
_atom_site_fract_y
_atom_site_fract_z
Be1 0.000 0.000 0.000
Sn1 0.500 0.500 0.500
P1 0.000 0.500 0.500
Cl1 0.500 0.500 0.000
# formation energy (no corrections): 1144 meV per atom
# energy relative to the lowest polymorph listed for this composition: 914 meV/atom


# PBE-GGA Tb2MgSb, relaxed
data_Tb2MgSb
_space_group_name_H-M_alt 'P 4/m m m'
_space_group_IT_number 123
_space_group_name_Hall '-P 4 2'
_cell_length_a 3.996
_cell_length_b 3.996
_cell_length_c 6.715
_cell_angle_alpha 90.00
_cell_angle_beta 90.00
_cell_angle_gamma 90.00
loop_
_atom_site_label
_atom_site_fract_x
_atom_site_fract_y
_atom_site_fract_z
Tb1 0.000 0.000 0.243
Mg1 0.500 0.500 0.500
Sb1 0.500 0.500 0.000
# formation energy (no corrections): -551 meV per atom
# energy relative to the lowest polymorph listed for this composition: 0 meV/atom


# PBE-GGA SmErTm4, relaxed
data_SmErTm4
_space_group_name_H-M_alt 'C 1 2/c 1'
_space_group_IT_number 15
_cell_length_a 8.707
_cell_length_b 14.510
_cell_length_c 6.425
_cell_angle_alpha 90.00
_cell_angle_beta 111.43
_cell_angle_gamma 90.00
loop_
_space_group_symop_operation_xyz
'x,y,z'
'-x,-y,-z'
'-x,y,-z+1/2'
'x,-y,z+1/2'
'x+1/2,y+1/2,z'
'-x+1/2,-y+1/2,-z'
'-x+1/2,y+1/2,-z+1/2'
'x+1/2,-y+1/2,z+1/2'
loop_
_atom_site_label
_atom_site_fract_x
_atom_site_fract_y
_atom_site_fract_z
Sm1 0.000 0.005 0.250
Er1 0.000 0.413 0.250
Tm1 0.092 0.198 0.539
Tm2 0.201 0.372 0.882
# energy of formation: 0.16 eV/atom
# energy relative to the lowest polymorph listed for this composition: 0 meV/atom


# PBE-GGA NaInTe2, relaxed
data_NaInTe2
_space_group_name_H-M_alt 'P 1 21/m 1'
_space_group_IT_number 11
_cell_length_a 6.786
_cell_length_b 5.481
_cell_length_c 7.214
_cell_angle_alpha 90.00
_cell_angle_beta 116.53
_cell_angle_gamma 90.00
loop_
_space_group_symop_operation_xyz
'x,y,z'
'-x,-y,-z'
'-x,y+1/2,-z'
'x,-y+1/2,z'
loop_
_atom_site_label
_atom_site_fract_x
_atom_site_fract_y
_atom_site_fract_z
Na1 0.002 0.250 0.250
In1 0.498 0.750 0.750
Te1 0.249 0.250 0.749
Te2 0.251 0.750 0.249
# formation energy (no corrections): -393 meV per atom


no.,V (Å³/atom),density (g/cm³),total energy (eV/atom)
1,27.6,6.30,-3.254
2,30.3,6.21,-5.956
3,16.9,11.19,-4.905
4,27.2,7.51,-5.660
5,30.5,8.54,-4.367
6,32.1,4.44,-4.190
7,17.4,6.80,-4.016
8,7.7,2.90,-5.879
9,28.7,4.00,-3.927
10,31.0,5.97,-3.182
11,23.9,3.62,-4.122
12,34.1,7.61,-1.604
13,20.8,12.58,-2.052
14,19.2,5.08,-4.952
15,17.0,13.85,-9.388
16,18.4,8.70,-6.196
17,26.3,2.84,-2.935
18,26.8,7.18,-4.296
19,31.5,8.73,-4.366
20,30.0,5.44,-2.978